# PBE TaPW, optimized geometry
data_TaPW
_chemical_formula_sum 'Ta4 P4 W4'
_space_group_name_H-M_alt 'F m m 2'
_space_group_IT_number 42
_space_group_name_Hall 'F 2 -2'
_cell_length_a 3.347
_cell_length_b 4.791
_cell_length_c 11.744
_cell_angle_alpha 90.00
_cell_angle_beta 90.00
_cell_angle_gamma 90.00
loop_
_atom_site_label
_atom_site_type_symbol
_atom_site_fract_x
_atom_site_fract_y
_atom_site_fract_z
Ta1 Ta 0.000 0.000 0.000
P1 P 0.000 0.000 0.343
W1 W 0.000 0.000 0.691
# energy	-10.136	eV/atom
# magnetic moment	0.00	μB per formula unit
# formation energy from the elements	-0.064	eV/atom
# N(E_F)	6.1	states/eV/cell

# PBE Li3PmSb2, optimized geometry
data_Li3PmSb2
_chemical_formula_sum 'Li18 Pm6 Sb12'
_space_group_name_H-M_alt 'C 1 2/m 1'
_space_group_IT_number 12
_space_group_name_Hall '-C 2y'
_cell_length_a 17.485
_cell_length_b 4.375
_cell_length_c 10.796
_cell_angle_alpha 90.00
_cell_angle_beta 100.94
_cell_angle_gamma 90.00
loop_
_atom_site_label
_atom_site_type_symbol
_atom_site_fract_x
_atom_site_fract_y
_atom_site_fract_z
Li1 Li 0.000 0.000 0.000
Li2 Li 0.050 0.500 0.839
Li3 Li 0.120 0.000 0.728
Li4 Li 0.182 0.000 0.488
Li5 Li 0.208 0.500 0.905
Pm1 Pm 0.000 0.500 0.500
Pm2 Pm 0.169 0.500 0.220
Sb1 Sb 0.046 0.000 0.306
Sb2 Sb 0.144 0.000 0.993
Sb3 Sb 0.192 0.500 0.646
# energy	-3.879	eV/atom
# magnetic moment	0.00	μB per formula unit
# N(E_F)	3.3	states/eV/cell
# ΔE_f (raw)	-0.756	eV/atom

# PBE PmEr4Sc, optimized geometry
data_PmEr4Sc
_chemical_formula_sum 'Pm4 Er16 Sc4'
_space_group_name_H-M_alt 'C m c m'
_space_group_IT_number 63
_space_group_name_Hall '-C 2c 2'
_cell_length_a 6.544
_cell_length_b 11.563
_cell_length_c 9.884
_cell_angle_alpha 90.00
_cell_angle_beta 90.00
_cell_angle_gamma 90.00
loop_
_atom_site_label
_atom_site_type_symbol
_atom_site_fract_x
_atom_site_fract_y
_atom_site_fract_z
Pm1 Pm 0.000 0.164 0.250
Er1 Er 0.000 0.351 0.567
Er2 Er 0.249 0.396 0.250
Sc1 Sc 0.000 0.000 0.000
# energy	-4.646	eV/atom
# magnetic moment	0.00	μB per formula unit
# formation energy from the elements	0.243	eV/atom
# N(E_F)	40.5	states/eV/cell

# PBE Li4CeSm, optimized geometry
data_Li4CeSm
_chemical_formula_sum 'Li16 Ce4 Sm4'
_space_group_name_H-M_alt 'F -4 3 m'
_space_group_IT_number 216
_space_group_name_Hall 'F -4 2 3'
_cell_length_a 8.342
_cell_length_b 8.342
_cell_length_c 8.342
_cell_angle_alpha 90.00
_cell_angle_beta 90.00
_cell_angle_gamma 90.00
loop_
_atom_site_label
_atom_site_type_symbol
_atom_site_fract_x
_atom_site_fract_y
_atom_site_fract_z
Li1 Li 0.124 0.124 0.376
Ce1 Ce 0.000 0.000 0.000
Sm1 Sm 0.250 0.250 0.750
# energy	-2.870	eV/atom
# magnetic moment	1.93	μB per formula unit
# formation energy from the elements	0.182	eV/atom
# N(E_F)	44.8	states/eV/cell

Q: energy of number 3 (PmEr4Sc)?
A: -4.646 eV/atom

Q: Look up the magnetic moment of the fourth one.
A: 1.93 μB per formula unit